# 1
A plane-wave DFT calculation with PBE-GGA was carried out for an optimized crystal structure of LuGaSn.

```
LuGaSn
1.0
0.000 3.379 3.379
3.379 0.000 3.379
3.379 3.379 0.000
Lu Ga Sn
1 1 1
direct
0.000 0.000 0.000 Lu
0.250 0.250 0.250 Ga
0.500 0.500 0.500 Sn
```

Computed properties:
The calculation puts the excess energy over the best structure of this formula in the dataset at 0 meV/atom. As for the space group: F-43m (216).


# 2
A plane-wave DFT calculation with PBE-GGA was carried out for an optimized crystal structure of Al10Re3.

```
Al10Re3
1.0
2.563 1.480 8.742
-2.563 1.480 8.742
0.000 -2.959 8.742
Al Re
10 3
direct
0.046 0.046 0.046 Al
0.089 0.583 0.583 Al
0.151 0.151 0.151 Al
0.417 0.417 0.911 Al
0.417 0.911 0.417 Al
0.583 0.089 0.583 Al
0.583 0.583 0.089 Al
0.849 0.849 0.849 Al
0.911 0.417 0.417 Al
0.954 0.954 0.954 Al
0.332 0.332 0.332 Re
0.500 0.500 0.500 Re
0.668 0.668 0.668 Re
```

Computed properties:
The calculation puts the excess energy over the best structure of this formula in the dataset at 46 meV/atom. As for the space group: R-3m (166).


# 3
A plane-wave DFT calculation with PBE-GGA was carried out for an optimized crystal structure of Zr3Ni.

```
Zr3Ni
1.0
6.065 0.000 0.000
-3.033 5.253 0.000
0.000 0.000 4.917
Zr Ni
6 2
direct
0.175 0.349 0.250 Zr
0.175 0.825 0.250 Zr
0.349 0.175 0.750 Zr
0.651 0.825 0.250 Zr
0.825 0.175 0.750 Zr
0.825 0.651 0.750 Zr
0.333 0.667 0.750 Ni
0.667 0.333 0.250 Ni
```

Computed properties:
The calculation puts the energy relative to the elements at 0.0235 eV per atom. As for the space group: P6_3/mmc (194).


# 4
A plane-wave DFT calculation with PBE-GGA was carried out for an optimized crystal structure of NdHgOs.

```
NdHgOs
1.0
0.000 3.434 3.434
3.434 0.000 3.434
3.434 3.434 0.000
Nd Hg Os
1 1 1
direct
0.000 0.000 0.000 Nd
0.750 0.750 0.750 Hg
0.250 0.250 0.250 Os
```

Computed properties:
The calculation puts the energy relative to the elements at 0.9378 eV per atom. As for the space group: F-43m (216).


# 5
A plane-wave DFT calculation with PBE-GGA was carried out for an optimized crystal structure of Er2TlCuNi.

```
Er2TlCuNi
1.0
3.636 0.000 0.000
0.000 1.995 7.118
0.000 -1.995 7.118
Er Tl Cu Ni
2 1 1 1
direct
0.000 0.000 0.000 Er
0.000 0.276 0.276 Er
0.500 0.640 0.640 Tl
0.500 0.437 0.437 Cu
0.500 0.840 0.840 Ni
```

Computed properties:
As for the space group: Amm2 (38). The value obtained for the uncorrected energy is -4.566 eV per atom.


# 6
A plane-wave DFT calculation with PBE-GGA was carried out for an optimized crystal structure of TlZnAs.

```
TlZnAs
1.0
4.125 0.000 0.000
0.000 4.125 0.000
0.000 0.000 8.702
Tl Zn As
2 2 2
direct
0.250 0.250 0.150 Tl
0.750 0.750 0.850 Tl
0.250 0.750 0.500 Zn
0.750 0.250 0.500 Zn
0.250 0.250 0.684 As
0.750 0.750 0.316 As
```

Computed properties:
As for the space group: P4/nmm (129). The value obtained for the uncorrected energy is -2.860 eV per atom.


# 7
A plane-wave DFT calculation with PBE-GGA was carried out for an optimized crystal structure of PaS.

```
PaS
1.0
3.587 0.000 0.000
-1.793 3.106 0.000
0.000 0.000 3.837
Pa S
1 1
direct
0.000 0.000 0.000 Pa
0.667 0.333 0.500 S
```

Computed properties:
The calculation puts the excess energy over the best structure of this formula in the dataset at 291 meV/atom. As for the space group: P-6m2 (187).


# 8
A plane-wave DFT calculation with PBE-GGA was carried out for an optimized crystal structure of Mg3Au.

```
Mg3Au
1.0
4.812 0.000 0.000
0.000 6.044 0.000
0.000 0.000 5.236
Mg Au
6 2
direct
0.250 0.001 0.171 Mg
0.250 0.499 0.171 Mg
0.250 0.750 0.641 Mg
0.750 0.250 0.359 Mg
0.750 0.501 0.829 Mg
0.750 0.999 0.829 Mg
0.250 0.250 0.682 Au
0.750 0.750 0.318 Au
```

Computed properties:
The calculation puts the excess energy over the best structure of this formula in the dataset at 7 meV/atom. As for the space group: Pmmn (59).


# 9
A plane-wave DFT calculation with PBE-GGA was carried out for an optimized crystal structure of CuHgBMo.

```
CuHgBMo
1.0
0.000 3.061 3.061
3.061 0.000 3.061
3.061 3.061 0.000
Cu Hg B Mo
1 1 1 1
direct
0.000 0.000 0.000 Cu
0.250 0.250 0.250 Hg
0.750 0.750 0.750 B
0.500 0.500 0.500 Mo
```

Computed properties:
The calculation puts the excess energy over the best structure of this formula in the dataset at 0 meV/atom. As for the space group: F-43m (216).


# 10
A plane-wave DFT calculation with PBE-GGA was carried out for an optimized crystal structure of Sc2AgAu.

```
Sc2AgAu
1.0
-2.409 2.409 3.414
2.409 -2.409 3.414
2.409 2.409 -3.414
Sc Ag Au
2 1 1
direct
0.250 0.750 0.500 Sc
0.750 0.250 0.500 Sc
0.000 0.000 0.000 Ag
0.500 0.500 0.000 Au
```

Computed properties:
The calculation puts the energy relative to the elements at -0.5608 eV per atom. The calculation puts the excess energy over the best structure of this formula in the dataset at 0 meV/atom. As for the space group: I4/mmm (139).


# 11
A plane-wave DFT calculation with PBE-GGA was carried out for an optimized crystal structure of DyAgSO.

```
DyAgSO
1.0
6.330 0.000 0.000
1.336 6.257 0.000
0.022 0.066 7.258
Dy Ag S O
4 4 4 4
direct
0.000 0.000 0.000 Dy
0.031 0.123 0.499 Dy
0.499 0.001 0.746 Dy
0.531 0.124 0.246 Dy
0.253 0.606 0.423 Ag
0.272 0.516 0.827 Ag
0.759 0.512 0.914 Ag
0.759 0.606 0.318 Ag
0.103 0.365 0.188 S
0.428 0.761 0.058 S
0.602 0.365 0.553 S
0.929 0.759 0.693 S
0.162 0.155 0.782 O
0.369 0.968 0.463 O
0.662 0.155 0.961 O
0.869 0.969 0.284 O
```

Computed properties:
As for the space group: P1 (1). The value obtained for the uncorrected energy is -5.928 eV per atom.


# 12
A plane-wave DFT calculation with PBE-GGA was carried out for an optimized crystal structure of NaDyB4.

```
NaDyB4
1.0
-1.578 2.771 3.983
1.578 -2.771 3.983
1.578 2.771 -3.983
Na Dy B
1 1 4
direct
0.000 0.000 0.000 Na
0.500 0.500 0.000 Dy
0.077 0.757 0.320 B
0.437 0.757 0.680 B
0.563 0.243 0.320 B
0.923 0.243 0.680 B
```

Computed properties:
The calculation puts the excess energy over the best structure of this formula in the dataset at 0 meV/atom. As for the space group: Immm (71).


# 13
A plane-wave DFT calculation with PBE-GGA was carried out for an optimized crystal structure of YInCoPt.

```
YInCoPt
1.0
0.000 3.349 3.349
3.349 0.000 3.349
3.349 3.349 0.000
Y In Co Pt
1 1 1 1
direct
0.000 0.000 0.000 Y
0.250 0.250 0.250 In
0.500 0.500 0.500 Co
0.750 0.750 0.750 Pt
```

Computed properties:
The calculation puts the excess energy over the best structure of this formula in the dataset at 295 meV/atom. As for the space group: F-43m (216).


# 14
A plane-wave DFT calculation with PBE-GGA was carried out for an optimized crystal structure of ScSn2Mo.

```
ScSn2Mo
1.0
0.000 3.465 3.465
3.465 0.000 3.465
3.465 3.465 0.000
Sc Sn Mo
1 2 1
direct
0.000 0.000 0.000 Sc
0.500 0.500 0.500 Sn
0.750 0.750 0.750 Sn
0.250 0.250 0.250 Mo
```

Computed properties:
As for the space group: F-43m (216). The value obtained for the uncorrected energy is -6.006 eV per atom.


# 15
A plane-wave DFT calculation with PBE-GGA was carried out for an optimized crystal structure of Tb2YAl9.

```
Tb2YAl9
1.0
3.102 1.791 7.061
-3.102 1.791 7.061
0.000 -3.582 7.061
Tb Y Al
2 1 9
direct
0.218 0.218 0.218 Tb
0.782 0.782 0.782 Tb
0.000 0.000 0.000 Y
0.000 0.500 0.500 Al
0.263 0.703 0.703 Al
0.297 0.297 0.737 Al
0.297 0.737 0.297 Al
0.500 0.000 0.500 Al
0.500 0.500 0.000 Al
0.703 0.263 0.703 Al
0.703 0.703 0.263 Al
0.737 0.297 0.297 Al
```

Computed properties:
As for the space group: R-3m (166). The value obtained for the uncorrected energy is -4.554 eV per atom.


# 16
A plane-wave DFT calculation with PBE-GGA was carried out for an optimized crystal structure of Pu.

```
Pu
1.0
-1.884 1.884 1.884
1.884 -1.884 1.884
1.884 1.884 -1.884
Pu
1
direct
0.000 0.000 0.000 Pu
```

Computed properties:
The calculation puts the energy relative to the elements at 0.1554 eV per atom. The calculation puts the excess energy over the best structure of this formula in the dataset at 155 meV/atom. As for the space group: Im-3m (229).


# 17
A plane-wave DFT calculation with PBE-GGA was carried out for an optimized crystal structure of PaCl.

```
PaCl
1.0
0.000 2.747 2.747
2.747 0.000 2.747
2.747 2.747 0.000
Pa Cl
1 1
direct
0.000 0.000 0.000 Pa
0.500 0.500 0.500 Cl
```

Computed properties:
As for the space group: Fm-3m (225). The value obtained for the uncorrected energy is -6.268 eV per atom.


# 18
A plane-wave DFT calculation with PBE-GGA was carried out for an optimized crystal structure of LuCoPdPb.

```
LuCoPdPb
1.0
0.000 3.328 3.328
3.328 0.000 3.328
3.328 3.328 0.000
Lu Co Pd Pb
1 1 1 1
direct
0.000 0.000 0.000 Lu
0.750 0.750 0.750 Co
0.250 0.250 0.250 Pd
0.500 0.500 0.500 Pb
```

Computed properties:
The calculation puts the excess energy over the best structure of this formula in the dataset at 0 meV/atom. As for the space group: F-43m (216).


# 19
A plane-wave DFT calculation with PBE-GGA was carried out for an optimized crystal structure of ScAgBi2.

```
ScAgBi2
1.0
0.000 3.728 3.728
3.728 0.000 3.728
3.728 3.728 0.000
Sc Ag Bi
1 1 2
direct
0.000 0.000 0.000 Sc
0.250 0.250 0.250 Ag
0.500 0.500 0.500 Bi
0.750 0.750 0.750 Bi
```

Computed properties:
As for the space group: F-43m (216). The value obtained for the uncorrected energy is -4.311 eV per atom.


# 20
A plane-wave DFT calculation with PBE-GGA was carried out for an optimized crystal structure of HoLuIn4.

```
HoLuIn4
1.0
4.618 0.000 0.000
0.000 2.292 7.039
0.000 -2.292 7.039
Ho Lu In
1 1 4
direct
0.000 0.000 0.000 Ho
0.000 0.689 0.689 Lu
0.000 0.343 0.343 In
0.500 0.169 0.169 In
0.500 0.520 0.520 In
0.500 0.843 0.843 In
```

Computed properties:
As for the space group: Amm2 (38). The value obtained for the uncorrected energy is -3.740 eV per atom.